a) ! MnBi2Rh2 PBE optimized geometry; values from VASP
&SYSTEM
  ibrav = 0, nat = 10, ntyp = 3
/
ATOMIC_SPECIES
Mn 54.94 Mn.upf
Bi 208.98 Bi.upf
Rh 102.91 Rh.upf
CELL_PARAMETERS angstrom
6.8767 0.0000 0.0000
0.0000 6.8767 0.0000
0.0000 0.0000 4.1360
ATOMIC_POSITIONS crystal
Mn 0.0000 0.0000 0.0000
Mn 0.5000 0.5000 0.0000
Bi 0.1709 0.3291 0.5000
Bi 0.3291 0.8291 0.5000
Bi 0.6709 0.1709 0.5000
Bi 0.8291 0.6709 0.5000
Rh 0.1412 0.6412 0.0000
Rh 0.3588 0.1412 0.0000
Rh 0.6412 0.8588 0.0000
Rh 0.8588 0.3588 0.0000
! Size of the total moment in μB/cell: 0.63
! Symmetry: P4/mbm


b) ! MnBi2Rh2 PBE optimized geometry; values from VASP
&SYSTEM
  ibrav = 0, nat = 10, ntyp = 3
/
ATOMIC_SPECIES
Mn 54.94 Mn.upf
Bi 208.98 Bi.upf
Rh 102.91 Rh.upf
CELL_PARAMETERS angstrom
7.5201 0.0000 0.0000
0.0000 7.5201 0.0000
0.0000 0.0000 3.4202
ATOMIC_POSITIONS crystal
Mn 0.0000 0.0000 0.0000
Mn 0.5000 0.5000 0.0000
Bi 0.1609 0.3391 0.0000
Bi 0.3391 0.8391 0.0000
Bi 0.6609 0.1609 0.0000
Bi 0.8391 0.6609 0.0000
Rh 0.1394 0.6394 0.5000
Rh 0.3606 0.1394 0.5000
Rh 0.6394 0.8606 0.5000
Rh 0.8606 0.3606 0.5000
! Size of the total moment in μB/cell: 0.72
! Symmetry: P4/mbm


c) ! MnBi2Rh2 PBE optimized geometry; values from VASP
&SYSTEM
  ibrav = 0, nat = 5, ntyp = 3
/
ATOMIC_SPECIES
Mn 54.94 Mn.upf
Bi 208.98 Bi.upf
Rh 102.91 Rh.upf
CELL_PARAMETERS angstrom
-1.7810 1.7810 8.0453
1.7810 -1.7810 8.0453
1.7810 1.7810 -8.0453
ATOMIC_POSITIONS crystal
Mn 0.0000 0.0000 0.0000
Bi 0.3978 0.3978 0.0000
Bi 0.6022 0.6022 0.0000
Rh 0.2500 0.7500 0.5000
Rh 0.7500 0.2500 0.5000
! Size of the total moment in μB/cell: 0.80
! Symmetry: I4/mmm


Stability ranking, top and bottom: a) is the most stable and c) is the least stable.